# 1
An optimized crystal structure of CoAgI2O. Source: Alexandria via LeMat-Bulk, functional PBE with a Hubbard U.

- Final energy: -2.5811 eV/atom

```
data_CoAgI2O
_symmetry_space_group_name_H-M 'P 1'
_symmetry_Int_Tables_number 1
_cell_length_a 5.703
_cell_length_b 5.703
_cell_length_c 4.010
_cell_angle_alpha 90.00
_cell_angle_beta 90.00
_cell_angle_gamma 90.00
loop_
_symmetry_equiv_pos_as_xyz
'x,y,z'
loop_
_atom_site_label
_atom_site_type_symbol
_atom_site_fract_x
_atom_site_fract_y
_atom_site_fract_z
Co1 Co 0.000 0.000 0.000
Ag1 Ag 0.500 0.500 0.500
I1 I 0.000 0.500 0.500
I2 I 0.500 0.000 0.500
O1 O 0.500 0.500 0.000
```



# 2
An optimized crystal structure of CoAgI2O. Source: Alexandria via LeMat-Bulk, functional PBE with a Hubbard U.

- Final energy: -3.3083 eV/atom

```
data_CoAgI2O
_symmetry_space_group_name_H-M 'P 1'
_symmetry_Int_Tables_number 1
_cell_length_a 5.769
_cell_length_b 5.769
_cell_length_c 3.582
_cell_angle_alpha 90.00
_cell_angle_beta 90.00
_cell_angle_gamma 90.00
loop_
_symmetry_equiv_pos_as_xyz
'x,y,z'
loop_
_atom_site_label
_atom_site_type_symbol
_atom_site_fract_x
_atom_site_fract_y
_atom_site_fract_z
Co1 Co 0.000 0.000 0.000
Ag1 Ag 0.500 0.500 0.500
I1 I 0.000 0.500 0.000
I2 I 0.500 0.000 0.000
O1 O 0.000 0.000 0.500
```



# 3
An optimized crystal structure of CoAgIO2. Source: Alexandria via LeMat-Bulk, functional PBE with a Hubbard U.

- Final energy: -3.3096 eV/atom

```
data_CoAgIO2
_symmetry_space_group_name_H-M 'P 1'
_symmetry_Int_Tables_number 1
_cell_length_a 3.970
_cell_length_b 3.970
_cell_length_c 6.981
_cell_angle_alpha 90.00
_cell_angle_beta 90.00
_cell_angle_gamma 90.00
loop_
_symmetry_equiv_pos_as_xyz
'x,y,z'
loop_
_atom_site_label
_atom_site_type_symbol
_atom_site_fract_x
_atom_site_fract_y
_atom_site_fract_z
Co1 Co 0.000 0.000 0.000
Ag1 Ag 0.500 0.500 0.500
I1 I 0.500 0.500 0.000
O1 O 0.000 0.500 0.500
O2 O 0.500 0.000 0.500
```



# 4
An optimized crystal structure of CoAgIO2. Source: Alexandria via LeMat-Bulk, functional PBE with a Hubbard U.

- Final energy: -3.9459 eV/atom

```
data_CoAgIO2
_symmetry_space_group_name_H-M 'P 1'
_symmetry_Int_Tables_number 1
_cell_length_a 3.862
_cell_length_b 3.862
_cell_length_c 6.261
_cell_angle_alpha 90.00
_cell_angle_beta 90.00
_cell_angle_gamma 90.00
loop_
_symmetry_equiv_pos_as_xyz
'x,y,z'
loop_
_atom_site_label
_atom_site_type_symbol
_atom_site_fract_x
_atom_site_fract_y
_atom_site_fract_z
Co1 Co 0.000 0.000 0.000
Ag1 Ag 0.500 0.500 0.500
I1 I 0.000 0.000 0.500
O1 O 0.000 0.500 0.000
O2 O 0.500 0.000 0.000
```